A relaxed RbTlPIr crystal. Source: Alexandria via LeMat-Bulk, functional PBE. Values from VASP.

The structure in Quantum ESPRESSO input format:
```
&SYSTEM
  ibrav = 0, nat = 8, ntyp = 4
/
ATOMIC_SPECIES
Rb 85.47 Rb.upf
Tl 204.38 Tl.upf
Ir 192.22 Ir.upf
P 30.97 P.upf
CELL_PARAMETERS angstrom
4.1098 0.0000 0.0000
0.0000 4.1098 0.0000
0.0000 0.0000 13.4359
ATOMIC_POSITIONS angstrom
Rb 3.0823 3.0823 3.2165
Rb 1.0274 1.0274 10.2194
Tl 3.0823 1.0274 6.7180
Tl 1.0274 3.0823 6.7180
Ir 3.0823 1.0274 0.0000
Ir 1.0274 3.0823 0.0000
P 1.0274 1.0274 1.2292
P 3.0823 3.0823 12.2067
```

Output
DFT formation energy = -326 meV per atom

=====

A relaxed Cs6Hg23 crystal. Source: Alexandria via LeMat-Bulk, functional PBE. Values from VASP.

The structure in Quantum ESPRESSO input format:
```
&SYSTEM
  ibrav = 0, nat = 29, ntyp = 2
/
ATOMIC_SPECIES
Cs 132.91 Cs.upf
Hg 200.59 Hg.upf
CELL_PARAMETERS angstrom
-8.1059 -2.1104 7.6115
-1.0788 -10.3764 4.3886
2.7461 -1.8829 10.8170
ATOMIC_POSITIONS angstrom
Cs -4.4301 -5.3794 15.3796
Cs 0.1553 -4.1856 11.0739
Cs -6.5938 -10.1841 11.7432
Cs -2.0084 -8.9903 7.4375
Cs -5.9836 -4.3143 9.2606
Cs -0.4550 -10.0554 13.5565
Hg -4.9915 -8.6990 17.5159
Hg -3.4705 -3.9747 12.0311
Hg -6.1633 -11.3010 15.5465
Hg -4.5923 -6.2434 6.0001
Hg -0.5394 -5.1882 2.1943
Hg -1.1581 -6.3759 13.8279
Hg -2.4576 -5.4850 8.7093
Hg -1.1165 -2.4919 3.9568
Hg -5.3220 -11.8779 18.8604
Hg -0.2752 -3.0687 7.2706
Hg 0.8337 -6.1297 7.6028
Hg -3.5998 -3.1384 6.2886
Hg -1.4470 -5.6707 5.3012
Hg -6.2933 -6.4836 12.3110
Hg -0.1453 -7.8861 10.5061
Hg -3.9809 -8.8848 14.1078
Hg -2.6799 -1.9966 9.2142
Hg -2.8387 -11.2313 16.5286
Hg 1.3731 -0.9414 5.4085
Hg -3.2193 -7.1849 11.4086
Hg -2.9681 -10.3950 10.7860
Hg -5.2804 -7.9938 8.9893
Hg -4.0530 -1.0552 3.8057
```

Output
DFT formation energy = -183 meV per atom

=====

A relaxed BaGd2Ir crystal. Source: Alexandria via LeMat-Bulk, functional PBE. Values from VASP.

The structure in Quantum ESPRESSO input format:
```
&SYSTEM
  ibrav = 0, nat = 4, ntyp = 3
/
ATOMIC_SPECIES
Ba 137.33 Ba.upf
Gd 157.25 Gd.upf
Ir 192.22 Ir.upf
CELL_PARAMETERS angstrom
4.1931 0.0000 0.0000
2.0966 3.6314 0.0000
2.0966 1.2105 9.7137
ATOMIC_POSITIONS angstrom
Ba 4.1931 2.4209 4.8569
Gd 6.2897 3.6314 8.3113
Gd 2.0966 1.2105 1.4024
Ir 0.0000 0.0000 0.0000
```

Output
Energy above the lowest structure with this stoichiometry = 0 kJ/mol of formula units
DFT formation energy = -405 meV per atom

=====

A relaxed DyPaZnRe crystal. Source: Alexandria via LeMat-Bulk, functional PBE. Values from VASP.

The structure in Quantum ESPRESSO input format:
```
&SYSTEM
  ibrav = 0, nat = 4, ntyp = 4
/
ATOMIC_SPECIES
Zn 65.41 Zn.upf
Dy 162.50 Dy.upf
Re 186.21 Re.upf
Pa 231.04 Pa.upf
CELL_PARAMETERS angstrom
-0.5986 2.2983 4.3252
-4.5003 0.3868 1.9863
-1.1470 -2.5969 4.0358
ATOMIC_POSITIONS angstrom
Zn 0.0000 0.0000 0.0000
Dy -1.5614 0.0220 2.5868
Re -3.1229 0.0441 5.1737
Pa -4.6843 0.0661 7.7605
```

Output
DFT formation energy = -6 meV per atom

=====

A relaxed Li6SmPd6 crystal. Source: Alexandria via LeMat-Bulk, functional PBE. Values from VASP.

The structure in Quantum ESPRESSO input format:
```
&SYSTEM
  ibrav = 0, nat = 13, ntyp = 3
/
ATOMIC_SPECIES
Pd 106.42 Pd.upf
Li 6.94 Li.upf
Sm 150.36 Sm.upf
CELL_PARAMETERS angstrom
4.9929 0.0000 1.9957
2.3648 6.2631 1.3272
0.1694 0.2047 6.8198
ATOMIC_POSITIONS angstrom
Pd 3.1251 1.4719 6.6688
Pd 1.1824 3.1316 0.6636
Pd 0.0847 0.1023 3.4099
Pd 2.5812 0.1023 4.4078
Pd 4.4021 4.9959 3.4739
Pd 3.6789 3.1316 1.6614
Li 4.1145 2.3108 4.1934
Li 0.9253 2.2905 4.9288
Li 3.4127 4.1570 5.9493
Li 5.5452 5.1143 7.8575
Li 1.9819 1.3536 2.2852
Li 1.6090 4.1773 3.2183
Sm 0.0000 0.0000 0.0000
```

Output
DFT formation energy = -465 meV per atom

=====

A relaxed SmCd6Ga2 crystal. Source: Alexandria via LeMat-Bulk, functional PBE. Values from VASP.

The structure in Quantum ESPRESSO input format:
```
&SYSTEM
  ibrav = 0, nat = 9, ntyp = 3
/
ATOMIC_SPECIES
Ga 69.72 Ga.upf
Cd 112.41 Cd.upf
Sm 150.36 Sm.upf
CELL_PARAMETERS angstrom
-2.7208 -2.6326 -2.2299
-1.8361 -1.2995 3.7744
-6.8166 7.6289 -0.6895
ATOMIC_POSITIONS angstrom
Ga -3.0797 -1.0693 0.6912
Ga -8.2938 4.7661 0.1638
Cd -2.8231 1.4823 1.6945
Cd -3.4083 3.8144 -0.3447
Cd -5.6867 1.8484 0.4275
Cd -5.8296 4.8471 1.3904
Cd -3.2654 0.8158 -1.3077
Cd -6.2719 4.1805 -1.6118
Sm 0.0000 0.0000 0.0000
```

Output
DFT formation energy = -185 meV per atom

=====

A relaxed Hg3SbAu2 crystal. Source: Alexandria via LeMat-Bulk, functional PBE. Values from VASP.

The structure in Quantum ESPRESSO input format:
```
&SYSTEM
  ibrav = 0, nat = 12, ntyp = 3
/
ATOMIC_SPECIES
Sb 121.76 Sb.upf
Au 196.97 Au.upf
Hg 200.59 Hg.upf
CELL_PARAMETERS angstrom
4.7929 0.0000 1.1067
1.5495 6.7482 4.2214
0.1319 1.6118 10.3609
ATOMIC_POSITIONS angstrom
Sb 3.6512 4.3095 6.0512
Sb 2.8231 4.0504 9.6377
Au 1.5536 4.3752 4.2038
Au 3.2669 2.0963 7.7156
Au 3.2074 6.2637 7.9734
Au 4.9207 3.9847 11.4852
Hg 1.2462 1.7656 5.5349
Hg 0.5236 1.5550 8.6646
Hg 4.4942 6.2105 13.3324
Hg 5.9507 6.8049 7.0244
Hg 1.9801 2.1495 2.3566
Hg 5.2281 6.5943 10.1541
```

Output
E_form (uncorrected) = 17.6 meV/atom

=====

A relaxed GaFe3Pt crystal. Source: Alexandria via LeMat-Bulk, functional PBE. Values from VASP.

The structure in Quantum ESPRESSO input format:
```
&SYSTEM
  ibrav = 0, nat = 5, ntyp = 3
/
ATOMIC_SPECIES
Pt 195.08 Pt.upf
Fe 55.84 Fe.upf
Ga 69.72 Ga.upf
CELL_PARAMETERS angstrom
4.8250 0.0000 0.0000
0.0000 4.8250 0.0000
0.0000 0.0000 4.8250
ATOMIC_POSITIONS angstrom
Pt 0.0000 0.0000 0.0000
Fe 0.0000 2.4125 0.0000
Fe 2.4125 0.0000 0.0000
Fe 0.0000 0.0000 2.4125
Ga 2.4125 2.4125 2.4125
```

Output
Energy above the lowest structure with this stoichiometry = 14 kJ/mol of formula units
DFT formation energy = 1018 meV per atom

=====

no.,density (g/cm3),magnetization (Bohr magnetons per cell),DFT total energy (eV/atom)
1,7.51,0.0,-4.728
2,8.76,0.4,-0.599
3,7.23,14.2,-10.141
4,12.61,0.0,-6.961
5,6.54,0.0,-4.108
6,8.09,0.0,-1.992
7,12.20,0.0,-1.913
8,6.39,10.1,-5.873